No. 1
Compound: BeIrF2
Source: the Alexandria database
Functional: PBE-GGA
Structure: optimized geometry

Computed properties:
- Formation energy from raw total energies: 151.1 meV/atom
- Excess energy over the best structure of this formula in the dataset: 186.3 kJ per mole of atoms

abc: 5.6886 5.6886 5.6886
angles: 90.00 90.00 90.00
With the nearest neighbours (Å) after each atom.
Space group Fm-3m (No. 225)
One atom of each set of equivalent atoms:
Be  0.0000  0.0000  0.0000 (multiplicity 4)  8 F 2.46
Ir  0.0000  0.0000  0.5000 (multiplicity 4)  8 F 2.46
F  0.2500  0.2500  0.2500 (multiplicity 8)  4 Be 2.46, 4 Ir 2.46

---

No. 2
Compound: V7Tc2W2
Source: the Alexandria database
Functional: PBE-GGA
Structure: optimized geometry

Computed properties:
- ΔE_f: 0.15 eV/atom

abc: 6.0469 8.6325 6.4529
angles: 90.00 101.73 90.00
With the nearest neighbours (Å) after each atom.
Space group C2/m (No. 12)
One atom of each set of equivalent atoms:
V  0.0000  0.0000  0.0000 (multiplicity 2)  2 Tc 2.52, 4 V 2.64
V  0.1827  0.2601  0.1691 (multiplicity 8)  3 V 2.49-2.77, 2 W 2.57-2.60, 2 Tc 2.63-2.65
V  0.2400  0.0000  0.4928 (multiplicity 4)  2 Tc 2.54-2.70, 4 W 2.61-2.66
Tc  0.0851  0.5000  0.8331 (multiplicity 4)  7 V 2.52-2.70, 1 Tc 2.57
W  0.0000  0.2507  0.5000 (multiplicity 4)  8 V 2.57-2.66

---

no.,total magnetic moment (μB/atom),theoretical density (Mg/m³)
1,0.41,8.63
2,0.00,9.27